# SrInBiAu

A geometry-optimized SrInBiAu structure (PBE-GGA, Alexandria).

a b c (Å): 7.7129 7.7129 7.7129
angles (deg): 90.00 90.00 90.00
Space group F-43m (No. 216)
Inequivalent atoms, fractional coordinates:
Sr  0.0000  0.0000  0.0000 x4
In  0.0000  0.0000  0.5000 x4
Bi  0.2500  0.2500  0.2500 x4
Au  0.2500  0.2500  0.7500 x4

# LiY6Ho

A geometry-optimized LiY6Ho structure (PBE-GGA, Alexandria).

a b c (Å): 6.3037 6.3038 6.3057
angles (deg): 96.19 96.08 96.15
Space group P-1 (No. 2)
Inequivalent atoms, fractional coordinates:
Li  0.0000  0.0000  0.0000 x1
Y  0.0483  0.5687  0.7626 x2
Y  0.2375  0.9516  0.4312 x2
Y  0.4312  0.2375  0.9516 x2
Ho  0.5000  0.5000  0.5000 x1

# Dy3Tm12Al

A geometry-optimized Dy3Tm12Al structure (PBE-GGA, Alexandria).

a b c (Å): 4.8743 4.8743 19.7082
angles (deg): 90.00 90.00 90.00
Space group P4/mmm (No. 123)
Inequivalent atoms, fractional coordinates:
Dy  0.0000  0.0000  0.0000 x1
Dy  0.0000  0.0000  0.2538 x2
Tm  0.0000  0.5000  0.1279 x4
Tm  0.0000  0.5000  0.3827 x4
Tm  0.5000  0.5000  0.0000 x1
Tm  0.5000  0.5000  0.2579 x2
Tm  0.5000  0.5000  0.5000 x1
Al  0.0000  0.0000  0.5000 x1

# BaZn2GePd

A geometry-optimized BaZn2GePd structure (PBE-GGA, Alexandria).

a b c (Å): 4.9431 4.9431 4.9222
angles (deg): 90.00 90.00 90.00
Space group P4/mmm (No. 123)
Inequivalent atoms, fractional coordinates:
Ba  0.0000  0.0000  0.0000 x1
Zn  0.0000  0.5000  0.5000 x2
Ge  0.5000  0.5000  0.0000 x1
Pd  0.5000  0.5000  0.5000 x1

Formation energy from the elements in meV/atom, matching the order above: -386, 145, -17, -310